# 1
Material: CaMoN3
Method: DFT, PBE-GGA
State: optimized geometry

Geometry as CIF:
```
data_CaMoN3
_chemical_formula_sum 'Ca8 Mo8 N24'
_space_group_name_H-M_alt 'C 1 2/c 1'
_space_group_IT_number 15
_cell_length_a 8.959
_cell_length_b 11.302
_cell_length_c 6.061
_cell_angle_alpha 90.00
_cell_angle_beta 99.84
_cell_angle_gamma 90.00
loop_
_space_group_symop_operation_xyz
'x,y,z'
'-x,-y,-z'
'-x,y,-z+1/2'
'x,-y,z+1/2'
'x+1/2,y+1/2,z'
'-x+1/2,-y+1/2,-z'
'-x+1/2,y+1/2,-z+1/2'
'x+1/2,-y+1/2,z+1/2'
loop_
_atom_site_label
_atom_site_type_symbol
_atom_site_fract_x
_atom_site_fract_y
_atom_site_fract_z
Ca1 Ca 0.000 0.080 0.250
Ca2 Ca 0.000 0.281 0.750
Mo1 Mo 0.178 0.422 0.353
N1 N 0.050 0.301 0.170
N2 N 0.126 0.112 0.625
N3 N 0.164 0.440 0.677
```

Calculated values
- energy (eV for the cell shown) = -323.76
- raw formation energy (eV/atom) = -0.532
- density (Mg/m³) = 3.9

# 2
Material: Sm3Zn4Ni4
Method: DFT, PBE-GGA
State: optimized geometry

Geometry as CIF:
```
data_Sm3Zn4Ni4
_chemical_formula_sum 'Sm6 Zn8 Ni8'
_space_group_name_H-M_alt 'I m m m'
_space_group_IT_number 71
_space_group_name_Hall '-I 2 2'
_cell_length_a 4.030
_cell_length_b 7.126
_cell_length_c 13.650
_cell_angle_alpha 90.00
_cell_angle_beta 90.00
_cell_angle_gamma 90.00
loop_
_atom_site_label
_atom_site_type_symbol
_atom_site_fract_x
_atom_site_fract_y
_atom_site_fract_z
Sm1 Sm 0.000 0.000 0.000
Sm2 Sm 0.000 0.500 0.128
Zn1 Zn 0.000 0.311 0.330
Ni1 Ni 0.000 0.000 0.219
Ni2 Ni 0.000 0.176 0.500
```

Calculated values
- formation energy from the elements (meV/atom) = -367
- energy (eV for the cell shown) = -92.83
- density (Mg/m³) = 8.0

# 3
Material: Mg2CoMo
Method: DFT, PBE-GGA
State: optimized geometry

Geometry as CIF:
```
data_Mg2CoMo
_chemical_formula_sum 'Mg4 Co2 Mo2'
_space_group_name_H-M_alt 'C m m m'
_space_group_IT_number 65
_space_group_name_Hall '-C 2 2'
_cell_length_a 3.479
_cell_length_b 4.186
_cell_length_c 8.657
_cell_angle_alpha 90.00
_cell_angle_beta 90.00
_cell_angle_gamma 90.00
loop_
_atom_site_label
_atom_site_type_symbol
_atom_site_fract_x
_atom_site_fract_y
_atom_site_fract_z
Mg1 Mg 0.000 0.000 0.232
Co1 Co 0.000 0.500 0.000
Mo1 Mo 0.000 0.500 0.500
```

Calculated values
- formation energy from the elements (meV/atom) = 295
- energy (eV for the cell shown) = -39.90
- density (Mg/m³) = 5.4

# 4
Material: PaInH8Os2
Method: DFT, PBE-GGA
State: optimized geometry

Geometry as CIF:
```
data_PaInH8Os2
_chemical_formula_sum 'Pa2 In2 H16 Os4'
_space_group_name_H-M_alt 'C 1 2/m 1'
_space_group_IT_number 12
_cell_length_a 8.443
_cell_length_b 4.408
_cell_length_c 6.059
_cell_angle_alpha 90.00
_cell_angle_beta 109.62
_cell_angle_gamma 90.00
loop_
_space_group_symop_operation_xyz
'x,y,z'
'-x,-y,-z'
'-x,y,-z'
'x,-y,z'
'x+1/2,y+1/2,z'
'-x+1/2,-y+1/2,-z'
'-x+1/2,y+1/2,-z'
'x+1/2,-y+1/2,z'
loop_
_atom_site_label
_atom_site_type_symbol
_atom_site_fract_x
_atom_site_fract_y
_atom_site_fract_z
Pa1 Pa 0.000 0.000 0.000
In1 In 0.000 0.500 0.500
H1 H 0.088 0.500 0.151
H2 H 0.187 0.262 0.839
H3 H 0.189 0.000 0.364
Os1 Os 0.209 0.000 0.651
```

Calculated values
- energy (eV for the cell shown) = -122.78
- density (Mg/m³) = 11.5

# 5
Material: YSc2Ti
Method: DFT, PBE-GGA
State: optimized geometry

Geometry as CIF:
```
data_YSc2Ti
_chemical_formula_sum 'Y1 Sc2 Ti1'
_space_group_name_H-M_alt 'P 4/m m m'
_space_group_IT_number 123
_space_group_name_Hall '-P 4 2'
_cell_length_a 3.569
_cell_length_b 3.569
_cell_length_c 7.780
_cell_angle_alpha 90.00
_cell_angle_beta 90.00
_cell_angle_gamma 90.00
loop_
_atom_site_label
_atom_site_type_symbol
_atom_site_fract_x
_atom_site_fract_y
_atom_site_fract_z
Y1 Y 0.000 0.000 0.000
Sc1 Sc 0.500 0.500 0.296
Ti1 Ti 0.000 0.000 0.500
```

Calculated values
- formation energy from the elements (meV/atom) = 137
- energy (eV for the cell shown) = -26.47
- density (Mg/m³) = 3.8

# 6
Material: Pm2HPt6Au
Method: DFT, PBE-GGA
State: optimized geometry

Geometry as CIF:
```
data_Pm2HPt6Au
_chemical_formula_sum 'Pm2 H1 Pt6 Au1'
_space_group_name_H-M_alt 'P -1'
_space_group_IT_number 2
_cell_length_a 5.631
_cell_length_b 5.634
_cell_length_c 7.317
_cell_angle_alpha 67.50
_cell_angle_beta 67.48
_cell_angle_gamma 60.04
loop_
_space_group_symop_operation_xyz
'x,y,z'
'-x,-y,-z'
loop_
_atom_site_label
_atom_site_type_symbol
_atom_site_fract_x
_atom_site_fract_y
_atom_site_fract_z
Pm1 Pm 0.216 0.218 0.350
H1 H 0.000 0.000 0.000
Pt1 Pt 0.228 0.226 0.824
Pt2 Pt 0.228 0.720 0.826
Pt3 Pt 0.278 0.774 0.176
Au1 Au 0.500 0.500 0.500
```

Calculated values
- energy (eV for the cell shown) = -58.74
- density (Mg/m³) = 15.3

# 7
Material: NaCaPrCl6
Method: DFT, PBE-GGA
State: optimized geometry

Geometry as CIF:
```
data_NaCaPrCl6
_chemical_formula_sum 'Na2 Ca2 Pr2 Cl12'
_space_group_name_H-M_alt 'P -3 1 c'
_space_group_IT_number 163
_space_group_name_Hall '-P 3 2c'
_cell_length_a 7.1401
_cell_length_b 7.1401
_cell_length_c 12.3998
_cell_angle_alpha 90.00
_cell_angle_beta 90.00
_cell_angle_gamma 120.00
loop_
_atom_site_label
_atom_site_type_symbol
_atom_site_fract_x
_atom_site_fract_y
_atom_site_fract_z
Na1 Na 0.0000 0.0000 0.0000
Ca1 Ca 0.3333 0.6667 0.2500
Pr1 Pr 0.3333 0.6667 0.7500
Cl1 Cl 0.0023 0.3496 0.1292
```

Calculated values
- energy (eV for the cell shown) = -77.98
- raw formation energy (eV/atom) = -2.201
- density (Mg/m³) = 2.5

# 8
Material: La6Ni3Ge
Method: DFT, PBE-GGA
State: optimized geometry

Geometry as CIF:
```
data_La6Ni3Ge
_chemical_formula_sum 'La12 Ni6 Ge2'
_space_group_name_H-M_alt 'P 1 21/m 1'
_space_group_IT_number 11
_cell_length_a 10.958
_cell_length_b 4.130
_cell_length_c 12.983
_cell_angle_alpha 90.00
_cell_angle_beta 108.52
_cell_angle_gamma 90.00
loop_
_space_group_symop_operation_xyz
'x,y,z'
'-x,-y,-z'
'-x,y+1/2,-z'
'x,-y+1/2,z'
loop_
_atom_site_label
_atom_site_type_symbol
_atom_site_fract_x
_atom_site_fract_y
_atom_site_fract_z
La1 La 0.017 0.250 0.123
La2 La 0.075 0.750 0.414
La3 La 0.220 0.250 0.801
La4 La 0.347 0.250 0.611
La5 La 0.351 0.250 0.313
La6 La 0.367 0.750 0.058
Ni1 Ni 0.125 0.750 0.639
Ni2 Ni 0.167 0.250 0.001
Ni3 Ni 0.430 0.750 0.477
Ge1 Ge 0.437 0.750 0.812
```

Calculated values
- formation energy from the elements (meV/atom) = -318
- energy (eV for the cell shown) = -109.41
- density (Mg/m³) = 6.5

What did the fourth record say?
Material: PaInH8Os2
Method: DFT, PBE-GGA
State: optimized geometry

Geometry as CIF:
```
data_PaInH8Os2
_chemical_formula_sum 'Pa2 In2 H16 Os4'
_space_group_name_H-M_alt 'C 1 2/m 1'
_space_group_IT_number 12
_cell_length_a 8.443
_cell_length_b 4.408
_cell_length_c 6.059
_cell_angle_alpha 90.00
_cell_angle_beta 109.62
_cell_angle_gamma 90.00
loop_
_space_group_symop_operation_xyz
'x,y,z'
'-x,-y,-z'
'-x,y,-z'
'x,-y,z'
'x+1/2,y+1/2,z'
'-x+1/2,-y+1/2,-z'
'-x+1/2,y+1/2,-z'
'x+1/2,-y+1/2,z'
loop_
_atom_site_label
_atom_site_type_symbol
_atom_site_fract_x
_atom_site_fract_y
_atom_site_fract_z
Pa1 Pa 0.000 0.000 0.000
In1 In 0.000 0.500 0.500
H1 H 0.088 0.500 0.151
H2 H 0.187 0.262 0.839
H3 H 0.189 0.000 0.364
Os1 Os 0.209 0.000 0.651
```

Calculated values
- energy (eV for the cell shown) = -122.78
- density (Mg/m³) = 11.5